# CsBaCoO2

A relaxed structure of CsBaCoO2 (GGA+U, Alexandria).

Unit cell a=5.6122 b=6.3910 c=7.8456 alpha=90.30 beta=90.00 gamma=90.00
With the nearest neighbours (Å) after each atom.
Sites, in units of the cell vectors:
O (0.2484, 0.1757, 0.0006)  1 Co 1.79
O (0.7516, 0.1757, 0.5006)  1 Co 1.79
O (0.2484, 0.8243, 0.4994)  1 Co 1.79
O (0.7516, 0.8243, 0.9994)  1 Co 1.79
Cs (0.0027, 0.5000, 0.7500)  4 O 3.17-3.18
Cs (0.9973, 0.5000, 0.2500)  4 O 3.17-3.18
Ba (0.5005, 0.0000, 0.7500)  4 O 2.66-2.67
Ba (0.4995, 0.0000, 0.2500)  4 O 2.66-2.67
Co (0.0000, 0.0000, 0.0000)  2 O 1.79
Co (0.0000, 0.0000, 0.5000)  2 O 1.79

Its energy above the most stable polymorph in this dataset is 0.0 meV/atom. Its total DFT energy (no corrections) is -25.25 eV per formula unit.